# 1
This record from Alexandria via LeMat-Bulk describes crystalline CaMnPb4 at its relaxed geometry. The functional is PBE-GGA. Values from VASP.

Quantum ESPRESSO input file:
```
&SYSTEM
  ibrav = 0, nat = 6, ntyp = 3
/
ATOMIC_SPECIES
Ca 40.08 Ca.upf
Mn 54.94 Mn.upf
Pb 207.20 Pb.upf
ATOMIC_POSITIONS crystal
Ca 0.750 0.750 0.750
Mn 0.000 0.000 0.000
Pb 0.875 0.375 0.375
Pb 0.375 0.375 0.875
Pb 0.375 0.875 0.375
Pb 0.375 0.375 0.375
CELL_PARAMETERS angstrom
0.000 4.564 4.564
4.564 0.000 4.564
4.564 4.564 0.000
```

Results
**Space-group type**: F-43m, No. 216
**Energy relative to the elements**: 0.2567 eV per atom
**Volume**: 190 Å³/cell



# 2
This record from Alexandria via LeMat-Bulk describes crystalline In2CuSi at its relaxed geometry. The functional is PBE-GGA. Values from VASP.

Quantum ESPRESSO input file:
```
&SYSTEM
  ibrav = 0, nat = 4, ntyp = 3
/
ATOMIC_SPECIES
Cu 63.55 Cu.upf
In 114.82 In.upf
Si 28.09 Si.upf
ATOMIC_POSITIONS crystal
Cu 0.000 0.500 0.500
In 0.000 0.000 0.000
In 0.500 0.500 0.000
Si 0.500 0.000 0.500
CELL_PARAMETERS angstrom
5.050 -0.044 -0.153
-1.323 4.874 -0.153
0.097 0.126 3.196
```

Results
**Space-group type**: Cmmm, No. 65
**ΔE_f (raw)**: 0.339 eV per atom
**Volume**: 79 Å³/cell



# 3
This record from Alexandria via LeMat-Bulk describes crystalline Li3Pr2AlNi12 at its relaxed geometry. The functional is PBE-GGA. Values from VASP.

Quantum ESPRESSO input file:
```
&SYSTEM
  ibrav = 0, nat = 18, ntyp = 4
/
ATOMIC_SPECIES
Li 6.94 Li.upf
Pr 140.91 Pr.upf
Al 26.98 Al.upf
Ni 58.69 Ni.upf
ATOMIC_POSITIONS crystal
Li 0.500 0.000 0.000
Li 0.000 0.500 0.000
Li 0.000 0.000 0.500
Pr 0.646 0.646 0.646
Pr 0.354 0.354 0.354
Al 0.000 0.000 0.000
Ni 0.416 0.416 0.813
Ni 0.928 0.928 0.356
Ni 0.356 0.928 0.928
Ni 0.813 0.416 0.416
Ni 0.928 0.356 0.928
Ni 0.416 0.813 0.416
Ni 0.584 0.584 0.187
Ni 0.072 0.072 0.644
Ni 0.644 0.072 0.072
Ni 0.187 0.584 0.584
Ni 0.072 0.644 0.072
Ni 0.584 0.187 0.584
CELL_PARAMETERS angstrom
-8.868 3.373 0.322
-8.764 -1.093 -3.482
-8.959 -2.155 2.285
```

Results
**Space-group type**: R-3m, No. 166
**Energy relative to the elements**: 0.1155 eV per atom
**Volume**: 264 Å³/cell



# 4
This record from Alexandria via LeMat-Bulk describes crystalline SrSbPb2 at its relaxed geometry. The functional is PBE-GGA. Values from VASP.

Quantum ESPRESSO input file:
```
&SYSTEM
  ibrav = 0, nat = 4, ntyp = 3
/
ATOMIC_SPECIES
Pb 207.20 Pb.upf
Sb 121.76 Sb.upf
Sr 87.62 Sr.upf
ATOMIC_POSITIONS crystal
Pb 0.000 0.000 0.000
Pb 0.250 0.250 0.250
Sb 0.500 0.500 0.500
Sr 0.750 0.750 0.750
CELL_PARAMETERS angstrom
5.686 0.000 0.000
2.843 4.924 0.000
2.843 1.641 4.642
```

Results
**Space-group type**: F-43m, No. 216
**ΔE_f (raw)**: -0.283 eV per atom
**Volume**: 130 Å³/cell



# 5
This record from Alexandria via LeMat-Bulk describes crystalline KCaTe3 at its relaxed geometry. The functional is PBE-GGA. Values from VASP.

Quantum ESPRESSO input file:
```
&SYSTEM
  ibrav = 0, nat = 5, ntyp = 3
/
ATOMIC_SPECIES
Ca 40.08 Ca.upf
Te 127.60 Te.upf
K 39.10 K.upf
ATOMIC_POSITIONS crystal
Ca 0.500 0.500 0.500
Te 0.000 0.500 0.000
Te 0.000 0.000 0.500
Te 0.500 0.000 0.000
K 0.000 0.000 0.000
CELL_PARAMETERS angstrom
-0.192 3.067 -5.072
1.547 -4.873 -3.005
-5.722 -1.421 -0.642
```

Results
**Space-group type**: Pm-3m, No. 221
**ΔE_f (raw)**: 0.145 eV per atom
**Volume**: 209 Å³/cell



# 6
This record from Alexandria via LeMat-Bulk describes crystalline CaNdYAg at its relaxed geometry. The functional is PBE-GGA. Values from VASP.

Quantum ESPRESSO input file:
```
&SYSTEM
  ibrav = 0, nat = 4, ntyp = 4
/
ATOMIC_SPECIES
Ca 40.08 Ca.upf
Nd 144.24 Nd.upf
Y 88.91 Y.upf
Ag 107.87 Ag.upf
ATOMIC_POSITIONS crystal
Ca 0.500 0.500 0.769
Nd 0.000 0.000 0.092
Y 0.500 0.500 0.366
Ag 0.000 0.000 0.557
CELL_PARAMETERS angstrom
3.616 0.000 0.000
0.000 3.616 0.000
0.000 0.000 9.383
```

Results
**Space-group type**: P4mm, No. 99
**Energy relative to the elements**: -0.1303 eV per atom
**Volume**: 123 Å³/cell



# 7
This record from Alexandria via LeMat-Bulk describes crystalline Rb2NbCdSe at its relaxed geometry. The functional is PBE-GGA. Values from VASP.

Quantum ESPRESSO input file:
```
&SYSTEM
  ibrav = 0, nat = 5, ntyp = 4
/
ATOMIC_SPECIES
Nb 92.91 Nb.upf
Se 78.96 Se.upf
Rb 85.47 Rb.upf
Cd 112.41 Cd.upf
ATOMIC_POSITIONS crystal
Nb 0.000 0.500 0.000
Se 0.500 0.500 0.500
Rb 0.000 0.000 0.500
Rb 0.500 0.000 0.000
Cd 0.000 0.000 0.000
CELL_PARAMETERS angstrom
-1.355 5.774 -2.357
-5.431 -0.973 0.738
0.354 2.479 5.870
```

Results
**Space-group type**: P4/mmm, No. 123
**ΔE_f (raw)**: 0.802 eV per atom
**Volume**: 227 Å³/cell



# 8
This record from Alexandria via LeMat-Bulk describes crystalline ZrTa2Os3 at its relaxed geometry. The functional is PBE-GGA. Values from VASP.

Quantum ESPRESSO input file:
```
&SYSTEM
  ibrav = 0, nat = 6, ntyp = 3
/
ATOMIC_SPECIES
Zr 91.22 Zr.upf
Ta 180.95 Ta.upf
Os 190.23 Os.upf
ATOMIC_POSITIONS crystal
Zr 0.500 0.500 0.500
Ta 0.500 0.500 0.837
Ta 0.500 0.500 0.163
Os 0.000 0.000 0.000
Os 0.000 0.000 0.689
Os 0.000 0.000 0.311
CELL_PARAMETERS angstrom
-0.446 1.501 -2.705
-3.070 -0.548 0.203
-1.250 8.904 5.147
```

Results
**Space-group type**: P4/mmm, No. 123
**Energy relative to the elements**: -0.3535 eV per atom
**Volume**: 101 Å³/cell



# 9
This record from Alexandria via LeMat-Bulk describes crystalline DyPbF at its relaxed geometry. The functional is PBE-GGA. Values from VASP.

Quantum ESPRESSO input file:
```
&SYSTEM
  ibrav = 0, nat = 3, ntyp = 3
/
ATOMIC_SPECIES
Pb 207.20 Pb.upf
F 19.00 F.upf
Dy 162.50 Dy.upf
ATOMIC_POSITIONS crystal
Pb 0.667 0.667 0.333
F 0.167 0.333 0.667
Dy 0.166 0.000 0.000
CELL_PARAMETERS angstrom
-0.832 -5.061 1.397
1.718 0.662 3.420
-3.829 0.524 -0.383
```

Results
**Space-group type**: P-6m2, No. 187
**ΔE_f (raw)**: -1.867 eV per atom
**Volume**: 69 Å³/cell



# 10
This record from Alexandria via LeMat-Bulk describes crystalline Ga2AgAu8 at its relaxed geometry. The functional is PBE-GGA. Values from VASP.

Quantum ESPRESSO input file:
```
&SYSTEM
  ibrav = 0, nat = 11, ntyp = 3
/
ATOMIC_SPECIES
Ga 69.72 Ga.upf
Ag 107.87 Ag.upf
Au 196.97 Au.upf
ATOMIC_POSITIONS crystal
Ga 0.788 0.341 0.576
Ga 0.212 0.659 0.424
Ag 0.500 0.000 0.000
Au 0.406 0.536 0.812
Au 0.678 0.933 0.356
Au 0.846 0.771 0.692
Au 0.958 0.260 0.916
Au 0.154 0.229 0.308
Au 0.322 0.067 0.644
Au 0.594 0.464 0.188
Au 0.042 0.740 0.085
CELL_PARAMETERS angstrom
4.142 0.000 0.000
0.000 6.572 0.152
-2.071 -2.665 7.162
```

Results
**Space-group type**: C2/m, No. 12
**Energy relative to the elements**: -0.0799 eV per atom
**Volume**: 197 Å³/cell



# 11
This record from Alexandria via LeMat-Bulk describes crystalline CeDy2Y5 at its relaxed geometry. The functional is PBE-GGA. Values from VASP.

Quantum ESPRESSO input file:
```
&SYSTEM
  ibrav = 0, nat = 16, ntyp = 3
/
ATOMIC_SPECIES
Ce 140.12 Ce.upf
Dy 162.50 Dy.upf
Y 88.91 Y.upf
ATOMIC_POSITIONS crystal
Ce 0.000 0.000 0.500
Ce 0.000 0.500 0.000
Dy 0.500 0.246 0.624
Dy 0.500 0.754 0.376
Dy 0.500 0.254 0.124
Dy 0.500 0.746 0.876
Y 0.000 0.000 0.000
Y 0.000 0.500 0.500
Y 0.000 0.500 0.750
Y 0.000 0.500 0.250
Y 0.000 0.000 0.250
Y 0.000 0.000 0.750
Y 0.500 0.254 0.876
Y 0.500 0.746 0.124
Y 0.500 0.246 0.376
Y 0.500 0.754 0.624
CELL_PARAMETERS angstrom
5.029 0.000 0.000
0.000 7.132 0.000
0.000 0.000 14.269
```

Results
**Space-group type**: Pbam, No. 55
**Energy relative to the elements**: 0.0456 eV per atom
**Volume**: 512 Å³/cell



# 12
This record from Alexandria via LeMat-Bulk describes crystalline ZrVSe at its relaxed geometry. The functional is PBE-GGA. Values from VASP.

Quantum ESPRESSO input file:
```
&SYSTEM
  ibrav = 0, nat = 6, ntyp = 3
/
ATOMIC_SPECIES
Se 78.96 Se.upf
Zr 91.22 Zr.upf
V 50.94 V.upf
ATOMIC_POSITIONS crystal
Se 0.000 0.500 0.651
Se 0.500 0.000 0.349
Zr 0.500 0.000 0.764
Zr 0.000 0.500 0.236
V 0.000 0.500 0.936
V 0.500 0.000 0.064
CELL_PARAMETERS angstrom
3.476 0.000 0.000
0.000 3.476 0.000
0.000 0.000 9.847
```

Results
**Space-group type**: P4/nmm, No. 129
**ΔE_f (raw)**: -0.667 eV per atom
**Volume**: 119 Å³/cell



Which value of volume does entry 12 give?
119 Å³/cell